Here is an optimized crystal structure of TbDy15Y4 from Alexandria via LeMat-Bulk. Energies are from PBE-GGA.

Summary:
calculated total energy = -4.956 eV per atom
DFT formation energy = 0.45 kcal/mol of atoms
magnetic moment = 0.0 μB per cell
volume = 632.9 Å³ per cell

abc: 5.0212 5.0212 25.1040
angles: 90.00 90.00 90.00
Closest atoms and distances in Å follow each position.
Element x y z (fractional)
Tb (0.0000, 0.0000, 0.0000)  12 Dy 3.55
Dy (0.0000, 0.5000, 0.0998)  2 Tb 3.55, 8 Dy 3.55-3.56, 2 Y 3.55
Dy (0.0000, 0.5000, 0.3000)  8 Dy 3.55, 4 Y 3.55
Dy (0.0000, 0.5000, 0.5000)  4 Y 3.55, 8 Dy 3.55
Dy (0.0000, 0.5000, 0.7000)  8 Dy 3.55, 4 Y 3.55
Dy (0.0000, 0.5000, 0.9002)  8 Dy 3.55-3.56, 2 Tb 3.55, 2 Y 3.55
Dy (0.5000, 0.0000, 0.0998)  2 Tb 3.55, 8 Dy 3.55-3.56, 2 Y 3.55
Dy (0.5000, 0.0000, 0.3000)  8 Dy 3.55, 4 Y 3.55
Dy (0.5000, 0.0000, 0.5000)  4 Y 3.55, 8 Dy 3.55
Dy (0.5000, 0.0000, 0.7000)  8 Dy 3.55, 4 Y 3.55
Dy (0.5000, 0.0000, 0.9002)  8 Dy 3.55-3.56, 2 Tb 3.55, 2 Y 3.55
Dy (0.5000, 0.5000, 0.0000)  8 Dy 3.55, 4 Tb 3.55
Dy (0.5000, 0.5000, 0.2000)  8 Dy 3.55-3.56, 4 Y 3.55
Dy (0.5000, 0.5000, 0.4000)  8 Dy 3.55, 4 Y 3.55
Dy (0.5000, 0.5000, 0.6000)  8 Dy 3.55, 4 Y 3.55
Dy (0.5000, 0.5000, 0.8000)  8 Dy 3.55-3.56, 4 Y 3.55
Y (0.0000, 0.0000, 0.2000)  12 Dy 3.55
Y (0.0000, 0.0000, 0.4000)  12 Dy 3.55
Y (0.0000, 0.0000, 0.6000)  12 Dy 3.55
Y (0.0000, 0.0000, 0.8000)  12 Dy 3.55


Here is an optimized crystal structure of ErAlGe from Alexandria via LeMat-Bulk. Energies are from PBE-GGA.

Summary:
calculated total energy = -4.926 eV per atom
DFT formation energy = -14.26 kcal/mol of atoms
magnetic moment = 0.0 μB per cell
volume = 120.5 Å³ per cell

abc: 7.7324 7.7324 7.7324
angles: 149.25 149.25 44.04
Closest atoms and distances in Å follow each position.
Element x y z (fractional)
Er (0.1619, 0.1619, 0.0000)  5 Ge 2.92-2.93, 4 Al 3.10
Er (0.8381, 0.8381, 0.0000)  5 Ge 2.92-2.93, 4 Al 3.10
Al (0.0000, 0.5000, 0.5000)  4 Ge 2.82, 4 Al 2.90, 4 Er 3.10
Al (0.5000, 0.0000, 0.5000)  4 Ge 2.82, 4 Al 2.90, 4 Er 3.10
Ge (0.3653, 0.3653, 0.0000)  4 Al 2.82, 5 Er 2.92-2.93
Ge (0.6347, 0.6347, 0.0000)  4 Al 2.82, 5 Er 2.92-2.93


Here is an optimized crystal structure of AcCdAu3 from Alexandria via LeMat-Bulk. Energies are from PBE-GGA.

Summary:
calculated total energy = -3.527 eV per atom
DFT formation energy = -12.82 kcal/mol of atoms
magnetic moment = 0.0 μB per cell
volume = 249.3 Å³ per cell

abc: 13.8387 13.8387 4.5985
angles: 90.00 90.00 163.56
Closest atoms and distances in Å follow each position.
Element x y z (fractional)
Ac (0.0799, 0.9201, 0.7500)  12 Au 3.33-3.60
Ac (0.9201, 0.0799, 0.2500)  12 Au 3.33-3.60
Cd (0.2084, 0.7916, 0.2500)  7 Au 2.79-3.08
Cd (0.7916, 0.2084, 0.7500)  7 Au 2.79-3.08
Au (0.3104, 0.6896, 0.2500)  5 Cd 2.79-3.08, 2 Au 2.82
Au (0.3703, 0.6297, 0.7500)  3 Au 2.78-2.82, 2 Cd 2.93
Au (0.4719, 0.5281, 0.7500)  3 Au 2.77-2.78
Au (0.5281, 0.4719, 0.2500)  3 Au 2.77-2.78
Au (0.6297, 0.3703, 0.2500)  3 Au 2.78-2.82, 2 Cd 2.93
Au (0.6896, 0.3104, 0.7500)  5 Cd 2.79-3.08, 2 Au 2.82


> Number 3 is which compound?

AcCdAu3


> Which formula does entry 1 have?

TbDy15Y4